RbHg2S | Alexandria via LeMat-Bulk | PBE | relaxed; formation energy from raw total energies = 0.0559 eV per atom; total magnetic moment = 0.000 μB per atom; volume = 160.1 Å³/f.u.; theoretical density = 5.379 Mg/m³; N(E_F) = 0.70 states/eV/atom; space-group type = R-3m
1.0
-2.309 -2.260 -3.072
2.011 -3.153 -2.427
-2.371 -8.171 4.557
Hg Rb S
2 1 1
Direct
0.879 0.879 0.363
0.121 0.121 0.637
0.000 0.000 0.000
0.500 0.500 0.500